Below is a geometry-optimized TaRh2Au structure, with properties calculated at the PBE level.

Unit cell a=4.4962 b=4.4962 c=4.4962 alpha=60.00 beta=60.00 gamma=60.00
With the nearest neighbours (Å) after each atom.
Fractional positions:
Ta  0.2500  0.2500  0.2500  4 Au 2.75, 4 Rh 2.75
Au  0.5000  0.5000  0.5000  4 Ta 2.75, 4 Rh 2.75
Rh  0.7500  0.7500  0.7500  4 Rh 2.75, 4 Au 2.75
Rh  0.0000  0.0000  0.0000  4 Ta 2.75, 4 Rh 2.75

## Properties
- calculated formation energy (meV/atom) = -49